[1]
22
Lattice="4.2241 0.0000 0.0000 0.0814 6.9359 0.0000 0.4126 0.5776 14.2714" Properties=species:S:1:pos:R:3 comment="Mg6Si5 | Alexandria via LeMat-Bulk | PBE-GGA | relaxed" polymorph_energy_ev_per_fu=0.27 spacegroup="No. 1" formation_energy_uncorrected_ev_per_atom=0.021 pbc="T T T"
Mg 0.0000 0.0000 0.0000
Mg 0.3077 4.8095 8.4793
Mg 0.2659 0.5469 7.0663
Mg 0.3299 4.9152 5.3322
Mg 0.2259 1.5035 2.5273
Mg 2.4376 6.2062 12.5085
Mg 2.3953 3.6651 10.5292
Mg 2.4465 7.2155 9.4377
Mg 2.4090 2.8807 7.0096
Mg 2.3692 0.4604 4.6882
Mg 2.4096 3.5273 3.4688
Mg 4.4708 4.0214 13.3719
Si 0.2994 2.2763 5.0691
Si 0.3153 5.4153 2.6555
Si 1.7092 4.5822 0.7788
Si 2.4001 2.0211 12.7170
Si 2.4394 5.7071 6.9417
Si 2.2910 1.9900 0.8774
Si 2.4285 6.6233 1.9988
Si 4.4697 1.2709 11.3879
Si 4.5393 5.7394 10.9664
Si 4.4826 2.2354 9.1224

---

[2]
24
Lattice="6.1025 0.0000 0.0000 0.0175 7.1863 0.0000 1.2685 2.3718 9.6064" Properties=species:S:1:pos:R:3 comment="MgSi2 | Alexandria via LeMat-Bulk | PBE-GGA | relaxed" polymorph_energy_ev_per_fu=0.30 spacegroup="No. 2" formation_energy_uncorrected_ev_per_atom=0.123 pbc="T T T"
Mg 0.6137 3.0931 3.4101
Mg 0.5959 5.7950 1.3399
Mg 3.6703 3.0946 8.3914
Mg 3.6764 7.1247 5.9310
Mg 3.7120 2.4334 3.6755
Mg 3.7181 6.4635 1.2151
Mg 6.7926 3.7631 8.2665
Mg 6.7747 6.4649 6.1964
Si 1.8746 8.2060 8.1262
Si 1.8252 2.0616 5.8255
Si 2.4978 5.9134 8.8277
Si 1.9071 7.4905 3.7436
Si 2.4223 4.4255 5.9788
Si 1.8298 1.3616 1.4485
Si 2.5510 5.1008 3.5353
Si 2.5342 3.7262 1.3732
Si 4.8543 5.8319 8.2332
Si 4.8375 4.4572 6.0711
Si 5.5586 8.1965 8.1579
Si 4.9662 5.1326 3.6276
Si 5.4814 2.0676 5.8628
Si 4.8907 3.6447 0.7787
Si 5.5633 7.4965 3.7809
Si 5.5139 1.3520 1.4802

---

[3]
12
Lattice="5.0205 -1.9274 0.0000 5.0205 1.9274 0.0000 -1.6317 0.0000 10.7925" Properties=species:S:1:pos:R:3 comment="MgSi2 | Alexandria via LeMat-Bulk | PBE-GGA | relaxed" polymorph_energy_ev_per_fu=0.33 spacegroup="No. 12" formation_energy_uncorrected_ev_per_atom=0.134 pbc="T T T"
Mg -0.0205 0.0000 3.6003
Mg 1.9859 0.0000 9.6542
Mg 6.4234 0.0000 1.1383
Mg 8.4299 0.0000 7.1922
Si -0.8691 0.0000 9.8770
Si 1.3544 0.0000 6.9365
Si 3.3345 0.0000 2.1552
Si 3.0500 0.0000 4.9744
Si 5.3594 0.0000 5.8181
Si 5.0749 0.0000 8.6372
Si 7.0550 0.0000 3.8560
Si 9.2784 0.0000 0.9155

---

[4]
12
Lattice="3.7827 0.0000 0.0000 -0.0038 6.0110 0.0000 -0.0001 -2.7127 10.0638" Properties=species:S:1:pos:R:3 comment="MgSi2 | Alexandria via LeMat-Bulk | PBE-GGA | relaxed" polymorph_energy_ev_per_fu=0.34 spacegroup="No. 1" formation_energy_uncorrected_ev_per_atom=0.138 pbc="T T T"
Mg 0.0000 0.0000 0.0000
Mg 0.0024 -0.7738 7.3527
Mg 1.8910 1.2673 5.5393
Mg 1.9000 2.2968 2.5411
Si -0.0012 2.3415 7.3534
Si 0.0017 3.1974 4.8342
Si 0.0042 3.2375 0.4550
Si 0.0087 4.4126 2.4854
Si 1.8898 1.5956 8.6262
Si 1.8967 -1.3882 5.3053
Si 1.8949 -0.6518 9.6236
Si 1.9037 -0.3137 3.0499